Below is a relaxed Pr12Cu3O5 crystal, with properties calculated at the PBE level.

Properties
Its density of states at the Fermi level is 16.747 states/eV/f.u. The uncorrected formation energy comes out at -1.33 eV/atom. Its density is 6.4 g cm⁻³. The total energy comes out at -120.9 eV/f.u.

Cell and atoms, written as POSCAR:
```
Pr12Cu3O5
1.0
-7.964 7.964 7.964
7.964 -7.964 7.964
7.964 7.964 -7.964
Pr Cu O
48 12 20
Direct
0.019 0.204 0.113
0.019 0.315 0.906
0.091 0.704 0.685
0.091 0.887 0.406
0.094 0.613 0.409
0.094 0.981 0.685
0.113 0.019 0.204
0.113 0.594 0.909
0.185 0.204 0.591
0.185 0.481 0.594
0.204 0.113 0.019
0.204 0.591 0.185
0.296 0.315 0.909
0.296 0.481 0.387
0.315 0.906 0.019
0.315 0.909 0.296
0.387 0.296 0.481
0.387 0.591 0.906
0.406 0.091 0.887
0.406 0.815 0.519
0.409 0.094 0.613
0.409 0.815 0.796
0.481 0.387 0.296
0.481 0.594 0.185
0.519 0.406 0.815
0.519 0.613 0.704
0.591 0.185 0.204
0.591 0.906 0.387
0.594 0.185 0.481
0.594 0.909 0.113
0.613 0.409 0.094
0.613 0.704 0.519
0.685 0.091 0.704
0.685 0.094 0.981
0.704 0.519 0.613
0.704 0.685 0.091
0.796 0.409 0.815
0.796 0.887 0.981
0.815 0.519 0.406
0.815 0.796 0.409
0.887 0.406 0.091
0.887 0.981 0.796
0.906 0.019 0.315
0.906 0.387 0.591
0.909 0.113 0.594
0.909 0.296 0.315
0.981 0.685 0.094
0.981 0.796 0.887
0.125 0.250 0.375
0.125 0.375 0.750
0.250 0.375 0.125
0.250 0.875 0.625
0.375 0.125 0.250
0.375 0.750 0.125
0.625 0.250 0.875
0.625 0.875 0.750
0.750 0.125 0.375
0.750 0.625 0.875
0.875 0.625 0.250
0.875 0.750 0.625
0.000 0.000 0.000
0.000 0.000 0.500
0.000 0.500 0.000
0.000 0.500 0.500
0.125 0.750 0.875
0.125 0.875 0.250
0.250 0.125 0.875
0.250 0.625 0.375
0.375 0.250 0.625
0.375 0.625 0.750
0.500 0.000 0.000
0.500 0.000 0.500
0.500 0.500 0.000
0.500 0.500 0.500
0.625 0.375 0.250
0.625 0.750 0.375
0.750 0.375 0.625
0.750 0.875 0.125
0.875 0.125 0.750
0.875 0.250 0.125
```